(1)
Zr3IrO: relaxed, PBE-GGA.

abc: 4.409 4.409 4.409
angles: 90.00 90.00 90.00
Positions (direct):
1 Zr 0.000 0.000 0.500
2 Zr 0.000 0.500 0.000
3 Zr 0.500 0.000 0.000
4 Ir 0.500 0.500 0.500
5 O 0.000 0.000 0.000

Results
Formation energy from raw total energies = -6.28 eV/f.u.
Electronic total energy = -9.1482 eV/atom

=====

(2)
ZrIrO3: relaxed, PBE-GGA.

abc: 4.106 4.106 4.106
angles: 90.00 90.00 90.00
Positions (direct):
1 Zr 0.000 0.000 0.000
2 Ir 0.500 0.500 0.500
3 O 0.000 0.000 0.500
4 O 0.000 0.500 0.000
5 O 0.500 0.000 0.000

Results
Formation energy from raw total energies = -4.63 eV/f.u.
Electronic total energy = -7.3828 eV/atom

=====

(3)
ZrIrO3: relaxed, PBE-GGA.

abc: 3.916 3.916 3.916
angles: 90.00 90.00 90.00
Positions (direct):
1 Zr 0.000 0.000 0.000
2 Ir 0.500 0.500 0.500
3 O 0.000 0.500 0.500
4 O 0.500 0.000 0.500
5 O 0.500 0.500 0.000

Results
Formation energy from raw total energies = -3.55 eV/f.u.
Electronic total energy = -7.1668 eV/atom

=====

(4)
Zr3IrO: relaxed, PBE-GGA.

abc: 7.377 7.377 3.346
angles: 90.00 90.00 106.83
Positions (direct):
1 Zr 0.177 0.427 0.500
2 Zr 0.192 0.808 0.000
3 Zr 0.427 0.177 0.500
4 Zr 0.573 0.823 0.500
5 Zr 0.808 0.192 0.000
6 Zr 0.823 0.573 0.500
7 Ir 0.000 0.000 0.500
8 Ir 0.500 0.500 0.000
9 O 0.000 0.500 0.000
10 O 0.500 0.000 0.000

Results
Formation energy from raw total energies = -6.39 eV/f.u.
Electronic total energy = -9.1701 eV/atom

=====

(5)
ZrIr2O: relaxed, PBE-GGA.

abc: 6.931 6.931 6.931
angles: 138.57 138.57 60.02
Positions (direct):
1 Zr 0.000 0.000 0.000
2 Zr 0.750 0.250 0.500
3 Ir 0.256 0.625 0.131
4 Ir 0.375 0.506 0.631
5 Ir 0.494 0.125 0.869
6 Ir 0.875 0.744 0.369
7 O 0.250 0.750 0.500
8 O 0.500 0.500 0.000

Results
Formation energy from raw total energies = -0.48 eV/f.u.
Electronic total energy = -7.9269 eV/atom

=====

(6)
Zr2IrO: relaxed, PBE-GGA.

abc: 6.397 6.397 6.397
angles: 127.91 127.91 76.77
Positions (direct):
1 Zr 0.056 0.625 0.931
2 Zr 0.375 0.306 0.431
3 Zr 0.694 0.125 0.069
4 Zr 0.875 0.944 0.569
5 Ir 0.250 0.750 0.500
6 Ir 0.500 0.500 0.000
7 O 0.000 0.000 0.000
8 O 0.750 0.250 0.500

Results
Formation energy from raw total energies = -5.28 eV/f.u.
Electronic total energy = -9.0501 eV/atom

=====

(7)
Zr4IrO: relaxed, PBE-GGA.

abc: 5.876 6.129 6.406
angles: 90.00 99.96 90.00
Positions (direct):
1 Zr 0.114 0.149 0.187
2 Zr 0.114 0.351 0.687
3 Zr 0.336 0.638 0.116
4 Zr 0.336 0.862 0.616
5 Zr 0.664 0.138 0.384
6 Zr 0.664 0.362 0.884
7 Zr 0.886 0.649 0.313
8 Zr 0.886 0.851 0.813
9 Ir 0.500 0.000 0.000
10 Ir 0.500 0.500 0.500
11 O 0.000 0.000 0.500
12 O 0.000 0.500 0.000

Results
Formation energy from raw total energies = -6.17 eV/f.u.
Electronic total energy = -9.0304 eV/atom

=====

(8)
Zr2IrO: relaxed, PBE-GGA.

abc: 8.501 8.501 8.501
angles: 20.18 20.18 20.18
Positions (direct):
1 Zr 0.103 0.103 0.103
2 Zr 0.897 0.897 0.897
3 Ir 0.000 0.000 0.000
4 O 0.500 0.500 0.500

Results
Formation energy from raw total energies = -3.85 eV/f.u.
Electronic total energy = -8.6919 eV/atom

=====

(9)
IrOs5: relaxed, PBE-GGA.

abc: 5.018 5.018 4.507
angles: 90.00 90.00 120.00
Positions (direct):
1 Ir 0.000 0.000 0.000
2 Os 0.000 0.500 0.500
3 Os 0.333 0.667 0.000
4 Os 0.500 0.000 0.500
5 Os 0.500 0.500 0.500
6 Os 0.667 0.333 0.000

Results
Electronic total energy = -9.7319 eV/atom
Energy of formation from the pure elements = 1.103 eV per atom
Distance to the lowest polymorph of the same formula = 1119.1 meV/atom

=====

(10)
IrOs2: relaxed, PBE-GGA.

abc: 5.087 5.087 5.087
angles: 60.00 60.00 60.00
Positions (direct):
1 Ir 0.125 0.125 0.125
2 Ir 0.875 0.875 0.875
3 Os 0.000 0.500 0.500
4 Os 0.500 0.000 0.500
5 Os 0.500 0.500 0.000
6 Os 0.500 0.500 0.500

Results
Electronic total energy = -9.5492 eV/atom
Energy of formation from the pure elements = 0.891 eV per atom
Distance to the lowest polymorph of the same formula = 893.2 meV/atom

=====

(11)
IrOs: relaxed, PBE-GGA.

abc: 4.752 4.752 4.752
angles: 33.30 33.30 33.30
Positions (direct):
1 Ir 0.000 0.000 0.000
2 Os 0.500 0.500 0.500

Results
Electronic total energy = -9.9961 eV/atom
Energy of formation from the pure elements = 0.049 eV per atom

=====

(12)
IrOs4: relaxed, PBE-GGA.

abc: 6.441 6.441 6.441
angles: 146.38 146.38 48.28
Positions (direct):
1 Ir 0.000 0.000 0.000
2 Os 0.250 0.750 0.500
3 Os 0.398 0.398 0.000
4 Os 0.602 0.602 0.000
5 Os 0.750 0.250 0.500

Results
Electronic total energy = -9.9361 eV/atom
Energy of formation from the pure elements = 0.820 eV per atom
Distance to the lowest polymorph of the same formula = 727.8 meV/atom

=====

Q: Look up the electronic total energy of the eighth one.
A: -8.6919 eV/atom